## DyTmOs4 (PBE-GGA)

Data for an optimized crystal structure of DyTmOs4.

Properties
The calculation puts the magnetization at 0.00 μB per atom. The calculation puts the calculated density at 16.85 g/cm³.

```
data_DyTmOs4
_symmetry_space_group_name_H-M 'F -4 3 m'
_symmetry_Int_Tables_number 216
_symmetry_space_group_name_Hall 'F -4 2 3'
_cell_length_a 7.552
_cell_length_b 7.552
_cell_length_c 7.552
_cell_angle_alpha 90.00
_cell_angle_beta 90.00
_cell_angle_gamma 90.00
loop_
_atom_site_label
_atom_site_fract_x
_atom_site_fract_y
_atom_site_fract_z
Dy1 0.000 0.000 0.000
Tm1 0.250 0.250 0.250
Os1 0.125 0.125 0.625
```

## DyUOs (PBE-GGA)

Data for an optimized crystal structure of DyUOs.

Properties
The calculation puts the magnetization at 0.27 μB per atom. The calculation puts the calculated density at 14.85 g/cm³. The value obtained for the energy above the most stable polymorph in this dataset is 0 meV per atom.

```
data_DyUOs
_symmetry_space_group_name_H-M 'I 4 m m'
_symmetry_Int_Tables_number 107
_symmetry_space_group_name_Hall 'I 4 -2'
_cell_length_a 3.504
_cell_length_b 3.504
_cell_length_c 10.767
_cell_angle_alpha 90.00
_cell_angle_beta 90.00
_cell_angle_gamma 90.00
loop_
_atom_site_label
_atom_site_fract_x
_atom_site_fract_y
_atom_site_fract_z
Dy1 0.000 0.000 0.000
U1 0.000 0.000 0.701
Os1 0.000 0.000 0.308
```

## DyUOs4 (PBE-GGA)

Data for an optimized crystal structure of DyUOs4.

Properties
The calculation puts the magnetization at 0.26 μB per atom. The calculation puts the calculated density at 17.87 g/cm³.

```
data_DyUOs4
_symmetry_space_group_name_H-M 'F -4 3 m'
_symmetry_Int_Tables_number 216
_symmetry_space_group_name_Hall 'F -4 2 3'
_cell_length_a 7.557
_cell_length_b 7.557
_cell_length_c 7.557
_cell_angle_alpha 90.00
_cell_angle_beta 90.00
_cell_angle_gamma 90.00
loop_
_atom_site_label
_atom_site_fract_x
_atom_site_fract_y
_atom_site_fract_z
Dy1 0.000 0.000 0.000
U1 0.250 0.250 0.250
Os1 0.125 0.125 0.625
```

## DyUOs (PBE-GGA)

Data for an optimized crystal structure of DyUOs.

Properties
The calculation puts the magnetization at 0.43 μB per atom. The calculation puts the calculated density at 13.43 g/cm³. The value obtained for the energy above the most stable polymorph in this dataset is 105 meV per atom.

```
data_DyUOs
_symmetry_space_group_name_H-M 'C m c m'
_symmetry_Int_Tables_number 63
_symmetry_space_group_name_Hall '-C 2c 2'
_cell_length_a 4.053
_cell_length_b 20.407
_cell_length_c 3.534
_cell_angle_alpha 90.00
_cell_angle_beta 90.00
_cell_angle_gamma 90.00
loop_
_atom_site_label
_atom_site_fract_x
_atom_site_fract_y
_atom_site_fract_z
Dy1 0.000 0.192 0.250
U1 0.000 0.429 0.750
Os1 0.000 0.057 0.750
```

## DyUOs2 (PBE-GGA)

Data for an optimized crystal structure of DyUOs2.

Properties
The calculation puts the magnetization at 0.37 μB per atom. The calculation puts the calculated density at 16.44 g/cm³.

```
data_DyUOs2
_symmetry_space_group_name_H-M 'F m -3 m'
_symmetry_Int_Tables_number 225
_symmetry_space_group_name_Hall '-F 4 2 3'
_cell_length_a 6.807
_cell_length_b 6.807
_cell_length_c 6.807
_cell_angle_alpha 90.00
_cell_angle_beta 90.00
_cell_angle_gamma 90.00
loop_
_atom_site_label
_atom_site_fract_x
_atom_site_fract_y
_atom_site_fract_z
Dy1 0.000 0.000 0.000
U1 0.000 0.000 0.500
Os1 0.250 0.250 0.250
```

## Dy3U2Os4 (PBE-GGA)

Data for an optimized crystal structure of Dy3U2Os4.

Properties
The calculation puts the magnetization at 0.14 μB per atom. The calculation puts the calculated density at 14.26 g/cm³.

```
data_Dy3U2Os4
_symmetry_space_group_name_H-M 'C 1 2/m 1'
_symmetry_Int_Tables_number 12
_symmetry_space_group_name_Hall '-C 2y'
_cell_length_a 10.787
_cell_length_b 4.310
_cell_length_c 8.802
_cell_angle_alpha 90.00
_cell_angle_beta 101.06
_cell_angle_gamma 90.00
loop_
_atom_site_label
_atom_site_fract_x
_atom_site_fract_y
_atom_site_fract_z
Dy1 0.000 0.000 0.000
Dy2 0.126 0.500 0.385
U1 0.174 0.500 0.776
Os1 0.084 0.000 0.630
Os2 0.218 0.500 0.092
```

## DyUOs2 (PBE-GGA)

Data for an optimized crystal structure of DyUOs2.

Properties
The calculation puts the magnetization at 0.02 μB per atom. The calculation puts the calculated density at 16.29 g/cm³.

```
data_DyUOs2
_symmetry_space_group_name_H-M 'P 4/m m m'
_symmetry_Int_Tables_number 123
_symmetry_space_group_name_Hall '-P 4 2'
_cell_length_a 3.439
_cell_length_b 3.439
_cell_length_c 6.733
_cell_angle_alpha 90.00
_cell_angle_beta 90.00
_cell_angle_gamma 90.00
loop_
_atom_site_label
_atom_site_fract_x
_atom_site_fract_y
_atom_site_fract_z
Dy1 0.000 0.000 0.000
U1 0.000 0.000 0.500
Os1 0.500 0.500 0.281
```

## DyUOs (PBE-GGA)

Data for an optimized crystal structure of DyUOs.

Properties
The calculation puts the magnetization at 0.79 μB per atom. The calculation puts the calculated density at 13.47 g/cm³. The value obtained for the energy above the most stable polymorph in this dataset is 321 meV per atom.

```
data_DyUOs
_symmetry_space_group_name_H-M 'P 3 m 1'
_symmetry_Int_Tables_number 156
_symmetry_space_group_name_Hall 'P 3 -2"'
_cell_length_a 4.3987
_cell_length_b 4.3987
_cell_length_c 4.3458
_cell_angle_alpha 90.00
_cell_angle_beta 90.00
_cell_angle_gamma 120.00
loop_
_atom_site_label
_atom_site_fract_x
_atom_site_fract_y
_atom_site_fract_z
Dy1 0.0000 0.0000 0.0000
U1 0.3333 0.6667 0.5290
Os1 0.6667 0.3333 0.3313
```

## Dy2UOs2 (PBE-GGA)

Data for an optimized crystal structure of Dy2UOs2.

Properties
The calculation puts the magnetization at 0.26 μB per atom. The calculation puts the calculated density at 13.96 g/cm³.

```
data_Dy2UOs2
_symmetry_space_group_name_H-M 'C 1 2/c 1'
_symmetry_Int_Tables_number 15
_symmetry_space_group_name_Hall '-C 2yc'
_cell_length_a 9.865
_cell_length_b 5.828
_cell_length_c 7.953
_cell_angle_alpha 90.00
_cell_angle_beta 100.97
_cell_angle_gamma 90.00
loop_
_atom_site_label
_atom_site_fract_x
_atom_site_fract_y
_atom_site_fract_z
Dy1 0.149 0.136 0.150
U1 0.000 0.359 0.750
Os1 0.132 0.366 0.507
```

## DyVOs2 (PBE-GGA)

Data for an optimized crystal structure of DyVOs2.

Properties
The calculation puts the magnetization at 0.00 μB per atom. The calculation puts the calculated density at 14.77 g/cm³. The value obtained for the energy above the most stable polymorph in this dataset is 0 meV per atom.

```
data_DyVOs2
_symmetry_space_group_name_H-M 'P 4/m m m'
_symmetry_Int_Tables_number 123
_symmetry_space_group_name_Hall '-P 4 2'
_cell_length_a 3.096
_cell_length_b 3.096
_cell_length_c 6.964
_cell_angle_alpha 90.00
_cell_angle_beta 90.00
_cell_angle_gamma 90.00
loop_
_atom_site_label
_atom_site_fract_x
_atom_site_fract_y
_atom_site_fract_z
Dy1 0.000 0.000 0.000
V1 0.000 0.000 0.500
Os1 0.500 0.500 0.294
```

## Dy2VOs (PBE-GGA)

Data for an optimized crystal structure of Dy2VOs.

Properties
The calculation puts the magnetization at 0.61 μB per atom. The calculation puts the calculated density at 10.39 g/cm³.

```
data_Dy2VOs
_symmetry_space_group_name_H-M 'R -3 m'
_symmetry_Int_Tables_number 166
_symmetry_space_group_name_Hall '-R 3 2"'
_cell_length_a 3.2242
_cell_length_b 3.2242
_cell_length_c 30.1590
_cell_angle_alpha 90.00
_cell_angle_beta 90.00
_cell_angle_gamma 120.00
loop_
_atom_site_label
_atom_site_fract_x
_atom_site_fract_y
_atom_site_fract_z
Dy1 0.0000 0.0000 0.0959
V1 0.0000 0.0000 0.0000
Os1 0.0000 0.0000 0.5000
```

## DyV2Os (PBE-GGA)

Data for an optimized crystal structure of DyV2Os.

Properties
The calculation puts the magnetization at 0.00 μB per atom. The calculation puts the calculated density at 11.74 g/cm³.

```
data_DyV2Os
_symmetry_space_group_name_H-M 'F m -3 m'
_symmetry_Int_Tables_number 225
_symmetry_space_group_name_Hall '-F 4 2 3'
_cell_length_a 6.360
_cell_length_b 6.360
_cell_length_c 6.360
_cell_angle_alpha 90.00
_cell_angle_beta 90.00
_cell_angle_gamma 90.00
loop_
_atom_site_label
_atom_site_fract_x
_atom_site_fract_y
_atom_site_fract_z
Dy1 0.000 0.000 0.000
V1 0.250 0.250 0.250
Os1 0.000 0.000 0.500
```

## DyVOs2 (PBE-GGA)

Data for an optimized crystal structure of DyVOs2.

Properties
The calculation puts the magnetization at 0.00 μB per atom. The calculation puts the calculated density at 14.93 g/cm³. The value obtained for the energy above the most stable polymorph in this dataset is 156 meV per atom.

```
data_DyVOs2
_symmetry_space_group_name_H-M 'F m -3 m'
_symmetry_Int_Tables_number 225
_symmetry_space_group_name_Hall '-F 4 2 3'
_cell_length_a 6.416
_cell_length_b 6.416
_cell_length_c 6.416
_cell_angle_alpha 90.00
_cell_angle_beta 90.00
_cell_angle_gamma 90.00
loop_
_atom_site_label
_atom_site_fract_x
_atom_site_fract_y
_atom_site_fract_z
Dy1 0.000 0.000 0.000
V1 0.000 0.000 0.500
Os1 0.250 0.250 0.250
```

no.,ΔH_f (0 K) (meV per atom)
1,-298
2,-9
3,-159
4,96
5,-42
6,-199
7,-148
8,311
9,-241
10,-135
11,665
12,165
13,21